# Mn2HSeO GGA+U optimized geometry
# Calculated total energy ... -0.4393 Ry per atom
# V ... 69.27 Å³ per cell
data_Mn2HSeO
_chemical_formula_sum 'Mn2 H1 Se1 O1'
_cell_length_a 3.4809
_cell_length_b 3.4906
_cell_length_c 6.8650
_cell_angle_alpha 104.58
_cell_angle_beta 90.11
_cell_angle_gamma 119.76
_symmetry_space_group_name_H-M 'P 1'
_symmetry_Int_Tables_number 1
loop_
_symmetry_equiv_pos_as_xyz
'x,y,z'
loop_
_atom_site_label
_atom_site_type_symbol
_atom_site_fract_x
_atom_site_fract_y
_atom_site_fract_z
Mn1 Mn 0.0000 0.0000 0.0000
Mn2 Mn 0.1916 0.3799 0.5693
H1 H 0.5345 0.0679 0.6010
Se1 Se 0.7639 0.5260 0.2922
O1 O 0.2930 0.5859 0.8785